8
Lattice="9.211 0.000 0.000 0.000 2.784 0.000 -0.764 0.000 4.871" Properties=species:S:1:pos:R:3 comment="GGA-PBE MgSiW2, relaxed" magmom_total_mub_per_cell=0.00 n_ef_per_ev_fu=2.264 total_energy_ev_per_atom=-7.907 pbc="T T T"
Mg 0.000 0.000 0.000
Mg 4.605 1.392 0.000
Si 2.109 1.392 1.213
Si 6.714 0.000 1.213
W 1.658 0.000 3.634
W 4.106 0.000 2.374
W 6.264 1.392 3.634
W 8.712 1.392 2.374